TbSi2Pt2: optimized geometry, PBE-GGA.

Results
total energy	-6.554	eV per atom
symmetry	I4/mmm, No. 139

a = 5.7521 Å, b = 5.7521 Å, c = 5.7521 Å
α = 137.14°, β = 137.14°, γ = 62.22°
Closest atoms and distances in Å follow each position.
Positions (direct):
Pt (0.7500, 0.2500, 0.5000)  4 Si 2.47
Si (0.3814, 0.3814, 0.0000)  1 Si 2.34, 4 Pt 2.47
Si (0.6186, 0.6186, 0.0000)  1 Si 2.34, 4 Pt 2.47
Tb (0.0000, 0.0000, 0.0000)  8 Si 3.19, 8 Pt 3.24
Pt (0.2500, 0.7500, 0.5000)  4 Si 2.47